Record 1
Below is crystalline PPbCl2 at its relaxed geometry, with properties calculated at the PBE-GGA level.

Computed properties:
Symmetry = R-3m (166)
Total moment = 0.00 μB/f.u.
Raw formation energy = -0.083 eV per atom
Total DFT energy (no corrections) = -3.2854 eV/atom

a b c (Å): 9.807 9.807 9.807
angles (deg): 20.05 20.05 20.05
Positions (direct):
1 P 0.000 0.000 0.000
2 Cl 0.080 0.080 0.080
3 Cl 0.920 0.920 0.920
4 Pb 0.500 0.500 0.500

Record 2
Below is crystalline Nd2InPd2 at its relaxed geometry, with properties calculated at the PBE-GGA level.

Computed properties:
Symmetry = P4/mbm (127)
Total moment = 0.00 μB/f.u.
Calculated formation energy = -0.806 eV per atom
Total DFT energy (no corrections) = -5.3377 eV/atom

a b c (Å): 7.878 7.878 3.880
angles (deg): 90.00 90.00 90.00
Positions (direct):
1 Nd 0.325 0.825 0.500
2 Nd 0.675 0.175 0.500
3 Nd 0.175 0.325 0.500
4 Nd 0.825 0.675 0.500
5 Pd 0.127 0.627 0.000
6 Pd 0.873 0.373 0.000
7 Pd 0.627 0.873 0.000
8 Pd 0.373 0.127 0.000
9 In 0.500 0.500 0.000
10 In 0.000 0.000 0.000

Record 3
Below is crystalline SnAsPb2 at its relaxed geometry, with properties calculated at the PBE-GGA level.

Computed properties:
Symmetry = Cm (8)
Total moment = 0.00 μB/f.u.
Calculated formation energy = 0.098 eV per atom
Total DFT energy (no corrections) = -3.9189 eV/atom

a b c (Å): 4.072 4.072 8.662
angles (deg): 76.69 76.69 59.40
Positions (direct):
1 Sn 0.498 0.498 0.501
2 Pb 0.069 0.069 0.784
3 Pb 0.265 0.265 0.214
4 As 0.667 0.667 0.001

Record 4
Below is crystalline PuGa8Rh4 at its relaxed geometry, with properties calculated at the PBE-GGA level.

Computed properties:
Symmetry = I4/mmm (139)
Total moment = 5.39 μB/f.u.
Calculated formation energy = -0.512 eV per atom
Total DFT energy (no corrections) = -5.7391 eV/atom

a b c (Å): 5.522 6.768 6.768
angles (deg): 80.42 65.92 65.92
Positions (direct):
1 Ga 0.500 0.780 0.220
2 Ga 0.000 0.654 0.346
3 Ga 0.654 0.346 0.346
4 Ga 0.000 0.346 0.654
5 Ga 0.346 0.654 0.654
6 Ga 0.280 0.220 0.220
7 Ga 0.500 0.220 0.780
8 Ga 0.720 0.780 0.780
9 Rh 0.500 0.000 0.500
10 Rh 0.000 0.000 0.500
11 Rh 0.000 0.500 0.000
12 Rh 0.500 0.500 0.000
13 Pu 0.000 0.000 0.000

Record 5
Below is crystalline Nd6Y4Mg at its relaxed geometry, with properties calculated at the PBE-GGA level.

Computed properties:
Symmetry = I-42m (121)
Total moment = 0.00 μB/f.u.
Calculated formation energy = 0.279 eV per atom
Total DFT energy (no corrections) = -4.8168 eV/atom

a b c (Å): 9.705 9.705 9.705
angles (deg): 58.12 139.82 139.82
Positions (direct):
1 Y 0.343 0.791 0.791
2 Y 0.000 0.552 0.209
3 Y 0.000 0.209 0.552
4 Y 0.657 0.448 0.448
5 Nd 0.500 0.500 0.000
6 Nd 0.000 0.362 0.996
7 Nd 0.000 0.996 0.362
8 Nd 0.500 0.000 0.500
9 Nd 0.634 0.638 0.638
10 Nd 0.366 0.004 0.004
11 Mg 0.000 0.000 0.000

Record 6
Below is crystalline La6Pr2NdHo at its relaxed geometry, with properties calculated at the PBE-GGA level.

Computed properties:
Symmetry = C2/c (15)
Total moment = 0.00 μB/f.u.
Calculated formation energy = 0.105 eV per atom
Total DFT energy (no corrections) = -4.7415 eV/atom

a b c (Å): 9.335 9.200 9.200
angles (deg): 114.63 89.89 89.89
Positions (direct):
1 La 0.093 0.721 0.428
2 La 0.407 0.223 0.923
3 La 0.181 0.533 0.970
4 La 0.819 0.467 0.030
5 La 0.907 0.923 0.223
6 La 0.907 0.279 0.572
7 La 0.593 0.428 0.721
8 La 0.407 0.572 0.279
9 La 0.319 0.030 0.467
10 La 0.593 0.777 0.077
11 La 0.681 0.970 0.533
12 La 0.093 0.077 0.777
13 Pr 0.436 0.794 0.704
14 Pr 0.936 0.704 0.794
15 Pr 0.564 0.206 0.296
16 Pr 0.064 0.296 0.206
17 Ho 0.750 0.569 0.431
18 Ho 0.250 0.431 0.569
19 Nd 0.250 0.930 0.070
20 Nd 0.750 0.070 0.930

Please write out number 3 again, unchanged.
Below is crystalline SnAsPb2 at its relaxed geometry, with properties calculated at the PBE-GGA level.

Computed properties:
Symmetry = Cm (8)
Total moment = 0.00 μB/f.u.
Calculated formation energy = 0.098 eV per atom
Total DFT energy (no corrections) = -3.9189 eV/atom

a b c (Å): 4.072 4.072 8.662
angles (deg): 76.69 76.69 59.40
Positions (direct):
1 Sn 0.498 0.498 0.501
2 Pb 0.069 0.069 0.784
3 Pb 0.265 0.265 0.214
4 As 0.667 0.667 0.001

> The highest total DFT energy (no corrections) belongs to which entry?

PPbCl2

> What is the formula in the sixth record?

La6Pr2NdHo